# 1
First-principles (PBE-GGA) data for a geometry-optimized YSnOs structure, as listed in the Open Quantum Materials Database.

a = 4.6606 Å, b = 4.6606 Å, c = 4.6606 Å
α = 60.00°, β = 60.00°, γ = 60.00°
Fractional coordinates of all 3 atoms:
Y (0.0000, 0.0000, 0.0000)
Sn (0.5000, 0.5000, 0.5000)
Os (0.7500, 0.7500, 0.7500)

- E_tot (eV per atom) = -7.345
- SG = F-43m

=====

# 2
First-principles (PBE-GGA) data for a geometry-optimized GePOsO structure, as listed in the Open Quantum Materials Database.

a = 2.8758 Å, b = 5.9895 Å, c = 6.6537 Å
α = 90.00°, β = 90.00°, γ = 90.00°
Fractional coordinates of all 8 atoms:
Ge (0.0000, 0.0684, 0.0000)
Ge (0.0000, 0.9316, 0.5000)
P (0.5000, 0.3562, 0.8099)
P (0.5000, 0.6438, 0.3099)
Os (0.5000, 0.2941, 0.4670)
Os (0.5000, 0.7059, 0.9670)
O (0.0000, 0.2250, 0.2454)
O (0.0000, 0.7750, 0.7454)

- SG = Pmc2_1
- E above lowest polymorph (meV/atom) = 300.8

=====

# 3
First-principles (PBE-GGA) data for a geometry-optimized GdSiSb structure, as listed in the Open Quantum Materials Database.

a = 4.9710 Å, b = 4.9710 Å, c = 4.9710 Å
α = 60.00°, β = 60.00°, γ = 60.00°
Fractional coordinates of all 3 atoms:
Gd (0.0000, 0.0000, 0.0000)
Si (0.2500, 0.2500, 0.2500)
Sb (0.7500, 0.7500, 0.7500)

- E_tot (eV per atom) = -4.744
- SG = F-43m

=====

# 4
First-principles (PBE-GGA) data for a geometry-optimized KSc3Re2 structure, as listed in the Open Quantum Materials Database.

a = 3.9794 Å, b = 3.9794 Å, c = 7.8824 Å
α = 90.00°, β = 90.00°, γ = 90.00°
Fractional coordinates of all 6 atoms:
K (0.0000, 0.0000, 0.0000)
Sc (0.0000, 0.5000, 0.3853)
Sc (0.5000, 0.0000, 0.6147)
Sc (0.5000, 0.5000, 0.0000)
Re (0.0000, 0.5000, 0.7246)
Re (0.5000, 0.0000, 0.2754)

- E_tot (eV per atom) = -6.578
- SG = P-4m2